No. 1
The following is a PBE calculation of crystalline La2Pm6Er3In at its relaxed geometry, from Alexandria.

Summary:
For the formation energy from the elements, the calculation gives -0.061 eV/atom.

Cell lengths 6.1931, 10.7365, 11.9109 Å; angles 90.00, 100.00, 90.00 degrees
Closest atoms and distances in Å follow each position.
Space group C2/m (No. 12)
Symmetry-distinct sites (fractional):
La 0.0000 0.1664 0.0000 [4 per cell]  3 La 3.57-3.58, 3 In 3.58, 6 Pm 3.63-3.64
Pm 0.2405 0.5000 0.7464 [4 per cell]  6 Pm 3.48-3.63, 3 Er 3.54-3.58, 1 In 3.59, 2 La 3.64
Pm 0.2464 0.3376 0.2532 [8 per cell]  6 Pm 3.48-3.63, 3 Er 3.54-3.59, 1 In 3.59, 2 La 3.63
Er 0.0000 0.0000 0.5000 [2 per cell]  6 Pm 3.54-3.58, 6 Er 3.57-3.58
Er 0.0000 0.3329 0.5000 [4 per cell]  6 Pm 3.54-3.59, 6 Er 3.57-3.59
In 0.0000 0.5000 0.0000 [2 per cell]  6 La 3.58, 6 Pm 3.59

No. 2
The following is a PBE calculation of crystalline La2NdCd5 at its relaxed geometry, from Alexandria.

Summary:
For the formation energy from the elements, the calculation gives -0.323 eV/atom.

Cell lengths 5.2545, 5.2545, 15.9080 Å; angles 90.00, 90.00, 90.00 degrees
Closest atoms and distances in Å follow each position.
Space group I4/mmm (No. 139)
Symmetry-distinct sites (fractional):
La 0.0000 0.0000 0.2350 [4 per cell]  8 Cd 3.26-3.56
Nd 0.0000 0.0000 0.5000 [2 per cell]  8 Cd 3.19
Cd 0.0000 0.0000 0.0000 [2 per cell]  8 Cd 3.19
Cd 0.0000 0.5000 0.1141 [8 per cell]  2 Cd 3.19, 2 Nd 3.19, 4 La 3.26-3.56

No. 3
The following is a PBE calculation of crystalline PrAlGeRh at its relaxed geometry, from Alexandria.

Summary:
For the formation energy from the elements, the calculation gives -0.777 eV/atom.

Cell lengths 4.2200, 4.2200, 15.9889 Å; angles 90.00, 90.00, 120.00 degrees
Closest atoms and distances in Å follow each position.
Space group R3m (No. 160, hexagonal axes)
Symmetry-distinct sites (fractional):
Pr 0.0000 0.0000 0.0000 [3 per cell]  4 Ge 3.09-3.44, 4 Al 3.17-3.31
Al 0.0000 0.0000 0.2068 [3 per cell]  3 Rh 2.52, 3 Ge 2.82
Ge 0.0000 0.0000 0.7852 [3 per cell]  3 Rh 2.55, 3 Al 2.82
Rh 0.0000 0.0000 0.4993 [3 per cell]  3 Al 2.52, 3 Ge 2.55

No. 4
The following is a PBE calculation of crystalline Ti2Co2Mo at its relaxed geometry, from Alexandria.

Summary:
For the formation energy from the elements, the calculation gives -0.125 eV/atom.

Cell lengths 7.0644, 7.0644, 2.7449 Å; angles 90.00, 90.00, 90.00 degrees
Closest atoms and distances in Å follow each position.
Space group P4/mbm (No. 127)
Symmetry-distinct sites (fractional):
Ti 0.1538 0.3462 0.0000 [4 per cell]  6 Co 2.43-2.52, 2 Mo 2.68
Co 0.1452 0.6452 0.5000 [4 per cell]  6 Ti 2.43-2.52
Mo 0.0000 0.0000 0.0000 [2 per cell]  4 Ti 2.68, 2 Mo 2.74

No. 5
The following is a PBE calculation of crystalline Pt2Se at its relaxed geometry, from Alexandria.

Summary:
The value obtained for the formation energy (no corrections) is -0.078 eV/atom.

Cell lengths 10.8599, 3.7074, 6.9772 Å; angles 90.00, 128.19, 90.00 degrees
Closest atoms and distances in Å follow each position.
Space group C2/m (No. 12)
Symmetry-distinct sites (fractional):
Pt 0.0933 0.0000 0.2578 [4 per cell]  2 Se 2.49, 3 Pt 2.63-2.66
Pt 0.2315 0.0000 0.7332 [4 per cell]  3 Se 2.47-2.73, 3 Pt 2.63-2.66
Se 0.0846 0.5000 0.8157 [4 per cell]  5 Pt 2.47-2.73

No. 6
The following is a PBE calculation of crystalline CuAg2Rh at its relaxed geometry, from Alexandria.

Summary:
For the formation energy from the elements, the calculation gives 0.235 eV/atom.

Cell lengths 2.9091, 4.6369, 9.3203 Å; angles 90.00, 90.00, 90.00 degrees
Closest atoms and distances in Å follow each position.
Space group Cmmm (No. 65)
Symmetry-distinct sites (fractional):
Cu 0.0000 0.0000 0.0000 [2 per cell]  4 Ag 2.68, 6 Cu 2.74-2.91
Ag 0.0000 0.5000 0.2416 [4 per cell]  2 Cu 2.68, 6 Ag 2.74-2.91, 2 Rh 2.81
Rh 0.0000 0.0000 0.5000 [2 per cell]  6 Rh 2.74-2.91, 4 Ag 2.81

no.,calculated total energy (eV per atom)
1,-4.6264
2,-2.7227
3,-5.8997
4,-8.2918
5,-5.2671
6,-4.0521